# 1
InIr | PBE | optimized geometry

a = 2.918 Å, b = 11.919 Å, c = 6.625 Å
α = 90.00°, β = 90.00°, γ = 90.00°
Space group Imm2 (No. 44)
Unique sites:
1 In 0.000 0.000 0.000 x2
2 In 0.000 0.297 0.818 x4
3 Ir 0.000 0.000 0.421 x2
4 Ir 0.000 0.384 0.201 x4

Output
DOS(E_F): 1.429 states/eV/f.u.
total magnetization: 0.000 μB/atom
energy of formation: 22 meV/atom



# 2
Gd2AgIr | PBE | optimized geometry

a = 4.1009 Å, b = 4.1009 Å, c = 21.6959 Å
α = 90.00°, β = 90.00°, γ = 120.00°
Space group R-3m (No. 166, hexagonal axes)
Unique sites:
1 Gd 0.0000 0.0000 0.2358 x6
2 Ag 0.0000 0.0000 0.0000 x3
3 Ir 0.0000 0.0000 0.5000 x3

Output
DOS(E_F): 2.262 states/eV/f.u.
total magnetization: 3.553 μB/atom
energy of formation: -464 meV/atom



# 3
Y6Tl5Bi | PBE | optimized geometry

a = 5.107 Å, b = 15.363 Å, c = 8.487 Å
α = 90.00°, β = 90.08°, γ = 90.00°
Space group C2/m (No. 12)
Unique sites:
1 Y 0.000 0.000 0.248 x4
2 Y 0.000 0.333 0.246 x8
3 Tl 0.000 0.166 0.000 x4
4 Tl 0.000 0.173 0.500 x4
5 Tl 0.000 0.500 0.000 x2
6 Bi 0.000 0.500 0.500 x2

Output
DOS(E_F): 8.887 states/eV/f.u.
total magnetization: 0.000 μB/atom
energy of formation: -407 meV/atom



# 4
Sr2TlPd4 | PBE | optimized geometry

a = 5.107 Å, b = 5.107 Å, c = 15.252 Å
α = 90.00°, β = 90.00°, γ = 90.00°
Space group I4/mmm (No. 139)
Unique sites:
1 Sr 0.000 0.000 0.134 x4
2 Tl 0.000 0.000 0.500 x2
3 Pd 0.000 0.000 0.326 x4
4 Pd 0.000 0.500 0.000 x4

Output
DOS(E_F): 3.337 states/eV/f.u.
total magnetization: 0.000 μB/atom
energy of formation: -41 meV/atom



# 5
PmPr6Mg2 | PBE | optimized geometry

a = 6.238 Å, b = 10.734 Å, c = 8.901 Å
α = 90.00°, β = 90.00°, γ = 90.00°
Space group C222 (No. 21)
Unique sites:
1 Pm 0.000 0.000 0.000 x2
2 Pr 0.000 0.327 0.000 x4
3 Pr 0.243 0.085 0.338 x8
4 Mg 0.250 0.250 0.671 x4

Output
DOS(E_F): 11.979 states/eV/f.u.
total magnetization: 0.000 μB/atom
energy of formation: 53 meV/atom
E above lowest polymorph: 0.0000 eV per atom



# 6
Tb2MgIr9 | PBE | optimized geometry

a = 5.2715 Å, b = 5.2715 Å, c = 26.4652 Å
α = 90.00°, β = 90.00°, γ = 120.00°
Space group R-3m (No. 166, hexagonal axes)
Unique sites:
1 Tb 0.0000 0.0000 0.1373 x6
2 Mg 0.0000 0.0000 0.0000 x3
3 Ir 0.0000 0.0000 0.3329 x6
4 Ir 0.0000 0.0000 0.5000 x3
5 Ir 0.0005 0.5002 0.0820 x18

Output
DOS(E_F): 12.037 states/eV/f.u.
total magnetization: 0.000 μB/atom
energy of formation: -371 meV/atom



# 7
NaPm4Hg7 | PBE | optimized geometry

a = 13.033 Å, b = 5.497 Å, c = 11.269 Å
α = 90.00°, β = 122.08°, γ = 90.00°
Space group C2/m (No. 12)
Unique sites:
1 Na 0.000 0.000 0.000 x2
2 Pm 0.084 0.500 0.778 x4
3 Pm 0.241 0.500 0.329 x4
4 Hg 0.000 0.500 0.000 x2
5 Hg 0.073 0.000 0.335 x4
6 Hg 0.135 0.500 0.531 x4
7 Hg 0.204 0.000 0.914 x4

Output
DOS(E_F): 8.969 states/eV/f.u.
total magnetization: 0.000 μB/atom
energy of formation: -313 meV/atom



# 8
TiZnFe3 | PBE | optimized geometry

a = 4.314 Å, b = 4.314 Å, c = 4.314 Å
α = 90.00°, β = 90.00°, γ = 90.00°
Space group Pm-3m (No. 221)
Unique sites:
1 Ti 0.000 0.000 0.000 x1
2 Zn 0.500 0.500 0.500 x1
3 Fe 0.000 0.000 0.500 x3

Output
DOS(E_F): 4.533 states/eV/f.u.
total magnetization: 0.953 μB/atom
energy of formation: 1091 meV/atom
E above lowest polymorph: 0.0000 eV per atom